A | A plane-wave DFT calculation with PBE-GGA was carried out for SrSb3W after structural relaxation.

Values from the calculation:
SG = No. 221
V = 30.75 A^3/atom
Fermi-level density of states = 3.62 states/eV per cell

Cell lengths 5.357, 5.357, 5.357 Å; angles 90.00, 90.00, 90.00 degrees
Sites, in units of the cell vectors:
Sr 0.000 0.000 0.000
Sb 0.000 0.500 0.500
Sb 0.500 0.000 0.500
Sb 0.500 0.500 0.000
W 0.500 0.500 0.500

B | A plane-wave DFT calculation with PBE-GGA was carried out for SrSb3W after structural relaxation.

Values from the calculation:
SG = No. 221
V = 38.12 A^3/atom
Fermi-level density of states = 9.15 states/eV per cell

Cell lengths 5.755, 5.755, 5.755 Å; angles 90.00, 90.00, 90.00 degrees
Sites, in units of the cell vectors:
Sr 0.000 0.000 0.000
Sb 0.000 0.000 0.500
Sb 0.000 0.500 0.000
Sb 0.500 0.000 0.000
W 0.500 0.500 0.500

Which of them is least stable? Easy: B.

A | A plane-wave DFT calculation with PBE-GGA was carried out for SrY3Sb after structural relaxation.

Values from the calculation:
SG = No. 221
V = 35.25 A^3/atom
Fermi-level density of states = 4.88 states/eV per cell

Cell lengths 5.607, 5.607, 5.607 Å; angles 90.00, 90.00, 90.00 degrees
Sites, in units of the cell vectors:
Sr 0.000 0.000 0.000
Y 0.000 0.000 0.500
Y 0.000 0.500 0.000
Y 0.500 0.000 0.000
Sb 0.500 0.500 0.500

B | A plane-wave DFT calculation with PBE-GGA was carried out for SrY3Sb after structural relaxation.

Values from the calculation:
SG = No. 221
V = 40.16 A^3/atom
Fermi-level density of states = 7.54 states/eV per cell

Cell lengths 5.856, 5.856, 5.856 Å; angles 90.00, 90.00, 90.00 degrees
Sites, in units of the cell vectors:
Sr 0.000 0.000 0.000
Y 0.000 0.500 0.500
Y 0.500 0.000 0.500
Y 0.500 0.500 0.000
Sb 0.500 0.500 0.500

Which of them is least stable? Easy: A.